{"formula": "Ba3LaPu2O9", "functional": "PBE-GGA", "state": "optimized geometry", "formation_energy_uncorrected_ev_per_atom": -2.97, "spacegroup": "No. 164", "dos_at_fermi_per_ev_cell": 9.3, "cell": [[-5.0207, 3.8045, 0.3297], [1.6799, -3.4465, 5.0090], [4.5332, 5.7699, 2.4498]], "species": ["Pu", "O", "Ba", "O", "Ba", "O", "O", "O", "O", "O", "Ba", "Pu", "La", "O", "O"], "fractional_positions": [[0.3333, 0.6667, 0.1604], [0.6513, 0.8256, 0.3212], [0.3333, 0.6667, 0.6647], [0.8256, 0.6513, 0.6788], [0.0000, 0.0000, 0.0000], [0.5000, 0.0000, 0.0000], [0.5000, 0.5000, 0.0000], [0.0000, 0.5000, 0.0000], [0.1744, 0.8256, 0.3212], [0.1744, 0.3487, 0.3212], [0.6667, 0.3333, 0.3353], [0.6667, 0.3333, 0.8396], [0.0000, 0.0000, 0.5000], [0.8256, 0.1744, 0.6788], [0.3487, 0.1744, 0.6788]]}